No. 1
An optimized crystal structure of KBa2Cd8. Source: Alexandria via LeMat-Bulk, functional GGA-PBE.

Energy in Ry per atom: -0.095
Energy relative to the elements in meV/atom: -182

a = 6.3782 Å, b = 6.1493 Å, c = 10.9880 Å
α = 113.32°, β = 113.71°, γ = 66.45°
Fractional positions:
K: 0.5000 0.0000 0.0000
Ba: 0.6518 0.6518 0.3036
Ba: 0.3482 0.3482 0.6964
Cd: 0.2553 0.3048 0.2813
Cd: 0.9740 0.0235 0.7187
Cd: 0.8804 0.3273 0.0000
Cd: 0.7409 0.2409 0.4817
Cd: 0.2591 0.7591 0.5183
Cd: 0.1196 0.6727 0.0000
Cd: 0.0260 0.9765 0.2813
Cd: 0.7447 0.6952 0.7187



No. 2
An optimized crystal structure of CdSbAs2. Source: Alexandria via LeMat-Bulk, functional GGA-PBE.

Formation energy (no corrections) in eV/f.u.: 0.36
Energy in Ry per atom: -0.257
ΔE to the lowest computed polymorph in meV/atom: 44

a = 6.2326 Å, b = 6.2326 Å, c = 7.7902 Å
α = 66.42°, β = 66.42°, γ = 90.00°
Fractional positions:
Sb: 0.0000 0.0000 0.0000
Sb: 0.7500 0.2500 0.5000
As: 0.6217 0.1250 0.2500
As: 0.1283 0.6250 0.2500
As: 0.3750 0.3783 0.7500
As: 0.8750 0.8717 0.7500
Cd: 0.5000 0.5000 0.0000
Cd: 0.2500 0.7500 0.5000



No. 3
An optimized crystal structure of Pm2Pr3Sm4. Source: Alexandria via LeMat-Bulk, functional GGA-PBE.

Energy in Ry per atom: -0.344
ΔE to the lowest computed polymorph in meV/atom: 0
Energy relative to the elements in meV/atom: 64

a = 3.6610 Å, b = 3.6610 Å, c = 27.3005 Å
α = 90.00°, β = 90.00°, γ = 120.00°
Fractional positions:
Pm: 0.6667 0.3333 0.0908
Pm: 0.6667 0.3333 0.8701
Pr: 0.0000 0.0000 0.9840
Pr: 0.0000 0.0000 0.3224
Pr: 0.6667 0.3333 0.6527
Sm: 0.0000 0.0000 0.5417
Sm: 0.6667 0.3333 0.4358
Sm: 0.6667 0.3333 0.2161
Sm: 0.0000 0.0000 0.7635



No. 4
An optimized crystal structure of RbY2Cr. Source: Alexandria via LeMat-Bulk, functional GGA-PBE.

Energy in Ry per atom: -0.356
ΔE to the lowest computed polymorph in meV/atom: 210
Energy relative to the elements in meV/atom: 1035

a = 7.9479 Å, b = 7.9479 Å, c = 7.9384 Å
α = 59.96°, β = 59.96°, γ = 90.00°
Fractional positions:
Y: 0.3749 0.1250 0.2500
Y: 0.3751 0.6250 0.2500
Y: 0.3750 0.6251 0.7500
Y: 0.8750 0.6249 0.7500
Cr: 0.5000 0.5000 0.0000
Cr: 0.2500 0.7500 0.5000
Rb: 0.0000 0.0000 0.0000
Rb: 0.7500 0.2500 0.5000